PBE with a Hubbard U PaV3O12, relaxed; calculated volume = 16.7 A^3/atom; total moment = 0.250 μB/atom; total energy = -7.3847 eV/atom; space group = R3c (161)
1.0
-1.3372 7.6533 3.8986
-0.4252 0.4453 8.6707
7.4653 3.9378 4.5211
O V Pa
24 6 2
direct
0.8679 0.6108 0.0636 O
0.5637 0.1369 0.1749 O
0.0637 0.6246 0.6749 O
0.5900 0.7206 0.3668 O
0.2206 0.0900 0.8668 O
0.9577 0.1108 0.5636 O
0.3226 0.5900 0.3668 O
0.1919 0.3831 0.9291 O
0.4959 0.1919 0.9291 O
0.4577 0.8679 0.0636 O
0.7206 0.3226 0.3668 O
0.8226 0.2206 0.8668 O
0.1246 0.5637 0.1749 O
0.1108 0.3679 0.5636 O
0.6919 0.9959 0.4291 O
0.9959 0.8831 0.4291 O
0.6369 0.0637 0.6749 O
0.3831 0.4959 0.9291 O
0.1369 0.1246 0.1749 O
0.0900 0.8226 0.8668 O
0.6246 0.6369 0.6749 O
0.8831 0.6919 0.4291 O
0.6108 0.4577 0.0636 O
0.3679 0.9577 0.5636 O
0.0974 0.5999 0.4982 V
0.3045 0.0999 0.9982 V
0.5974 0.3045 0.9982 V
0.5999 0.8045 0.4982 V
0.8045 0.0974 0.4982 V
0.0999 0.5974 0.9982 V
0.5952 0.5952 0.2145 Pa
0.0952 0.0952 0.7145 Pa